A plane-wave DFT calculation with PBE-GGA was carried out for an optimized crystal structure of SrLiGdPb.

The calculation puts the density of states at the Fermi level at 1.36 states/eV per atom. The formation energy comes out at -276 meV per atom. The value obtained for the total energy is -5.62 eV per atom.

The space group is F-43m (No. 216) and the conventional cell measures 7.873, 7.873 and 7.873 Å, with angles of 90.00, 90.00 and 90.00 degrees. The distinct sites, in fractional coordinates, are Sr at (0.000, 0.000, 0.000), Li at (0.250, 0.250, 0.750), Gd at (0.000, 0.000, 0.500) and Pb at (0.250, 0.250, 0.250).